# 1
AgOs2Ru at its PBEsol-relaxed geometry, computed with meta-GGA SCAN.

Computed properties:
The formation energy is 448 meV per atom. The value obtained for the energy above the most stable polymorph in this dataset is 0.1280 eV/atom. The value obtained for the density of states at the Fermi level is 1.010 states/eV per atom. As for the space group: P4mm (99).

Cell: 2.7104 2.7104 7.8629 Å, 90.00 90.00 90.00°
Atoms (fractional coordinates):
Ag 0.5000 0.5000 0.7485
Os 0.0000 0.0000 0.0170
Os 0.5000 0.5000 0.2509
Ru 0.0000 0.0000 0.4837

---

# 2
Ag3OsRu at its PBEsol-relaxed geometry, computed with meta-GGA SCAN.

Computed properties:
The formation energy is 2177 meV per atom. The value obtained for the density of states at the Fermi level is 1.186 states/eV per atom. As for the space group: Pm-3m (221).

Cell: 4.8674 4.8674 4.8674 Å, 90.00 90.00 90.00°
Atoms (fractional coordinates):
Ru 0.5000 0.5000 0.5000
Os 0.0000 0.0000 0.0000
Ag 0.0000 0.5000 0.0000
Ag 0.0000 0.0000 0.5000
Ag 0.5000 0.0000 0.0000

---

# 3
AgOs2Ru at its PBEsol-relaxed geometry, computed with meta-GGA SCAN.

Computed properties:
The formation energy is 320 meV per atom. The value obtained for the energy above the most stable polymorph in this dataset is 0.0000 eV/atom. The value obtained for the density of states at the Fermi level is 0.679 states/eV per atom. As for the space group: R3m (160).

Cell: 2.7105 2.7105 9.1960 Å, 81.53 81.53 60.00°
Atoms (fractional coordinates):
Ag 0.2494 0.2494 0.2517
Os 0.0052 0.0052 0.9845
Os 0.7504 0.7504 0.7488
Ru 0.4950 0.4950 0.5150

---

# 4
AgOsRu2 at its PBEsol-relaxed geometry, computed with meta-GGA SCAN.

Computed properties:
The formation energy is 706 meV per atom. The value obtained for the energy above the most stable polymorph in this dataset is 0.3916 eV/atom. The value obtained for the density of states at the Fermi level is 1.126 states/eV per atom. As for the space group: P4/mmm (123).

Cell: 3.8021 3.8601 3.8601 Å, 90.00 90.00 90.00°
Atoms (fractional coordinates):
Ag 0.5000 0.5000 0.5000
Os 0.5000 0.0000 0.0000
Ru 0.0000 0.0000 0.5000
Ru 0.0000 0.5000 0.0000

---

# 5
AgOsRuS2 at its PBEsol-relaxed geometry, computed with meta-GGA SCAN.

Computed properties:
The value obtained for the formation energy without anion corrections is 26.9 kcal/mol of atoms. The value obtained for the density of states at the Fermi level is 0.692 states/eV per atom. As for the space group: P4/mmm (123).

Cell: 4.3866 4.3866 5.1027 Å, 90.00 90.00 90.00°
Atoms (fractional coordinates):
Ru 0.5000 0.5000 0.5000
S 0.0000 0.5000 0.0000
S 0.5000 0.0000 0.0000
Os 0.0000 0.0000 0.0000
Ag 0.0000 0.0000 0.5000

---

# 6
AgSn2OsRu at its PBEsol-relaxed geometry, computed with meta-GGA SCAN.

Computed properties:
The formation energy is 1478 meV per atom. The value obtained for the density of states at the Fermi level is 0.599 states/eV per atom. As for the space group: P4/mmm (123).

Cell: 4.8771 4.8771 4.9398 Å, 90.00 90.00 90.00°
Atoms (fractional coordinates):
Ru 0.0000 0.0000 0.0000
Os 0.5000 0.5000 0.5000
Sn 0.0000 0.5000 0.0000
Sn 0.5000 0.0000 0.0000
Ag 0.0000 0.0000 0.5000

---

# 7
AgTeOsS2 at its PBEsol-relaxed geometry, computed with meta-GGA SCAN.

Computed properties:
The value obtained for the formation energy without anion corrections is 9.4 kcal/mol of atoms. The value obtained for the density of states at the Fermi level is 0.627 states/eV per atom. As for the space group: P4/mmm (123).

Cell: 4.3869 4.3869 5.8609 Å, 90.00 90.00 90.00°
Atoms (fractional coordinates):
S 0.0000 0.5000 0.0000
S 0.5000 0.0000 0.0000
Te 0.0000 0.0000 0.5000
Os 0.0000 0.0000 0.0000
Ag 0.5000 0.5000 0.5000

---

# 8
TlAgOsS2 at its PBEsol-relaxed geometry, computed with meta-GGA SCAN.

Computed properties:
The value obtained for the formation energy without anion corrections is 41.3 kcal/mol of atoms. The value obtained for the density of states at the Fermi level is 0.603 states/eV per atom. As for the space group: P4/mmm (123).

Cell: 4.9850 4.9850 5.1500 Å, 90.00 90.00 90.00°
Atoms (fractional coordinates):
Tl 0.0000 0.0000 0.0000
Os 0.0000 0.0000 0.5000
S 0.0000 0.5000 0.0000
S 0.5000 0.0000 0.0000
Ag 0.5000 0.5000 0.5000

---

# 9
AgSb4Os at its PBEsol-relaxed geometry, computed with meta-GGA SCAN.

Computed properties:
The value obtained for the formation energy without anion corrections is 30.5 kcal/mol of atoms. The value obtained for the density of states at the Fermi level is 0.616 states/eV per atom. As for the space group: F-43m (216).

Cell: 5.9073 5.9073 5.9073 Å, 60.00 60.00 60.00°
Atoms (fractional coordinates):
Sb 0.3749 0.3749 0.3749
Sb 0.3749 0.3749 0.8752
Sb 0.8752 0.3749 0.3749
Sb 0.3749 0.8752 0.3749
Os 0.0000 0.0000 0.0000
Ag 0.7500 0.7500 0.7500

---

# 10
Ag2SbOs at its PBEsol-relaxed geometry, computed with meta-GGA SCAN.

Computed properties:
The value obtained for the formation energy without anion corrections is 11.8 kcal/mol of atoms. The value obtained for the density of states at the Fermi level is 0.665 states/eV per atom. As for the space group: Cm (8).

Cell: 3.1666 5.0305 4.9862 Å, 111.43 90.00 108.35°
Atoms (fractional coordinates):
Sb 0.2306 0.4612 0.6559
Os 0.5007 0.0015 0.5915
Ag 0.0089 0.0177 0.0719
Ag 0.7598 0.5196 0.1807

---

# 11
Ag2SbOs at its PBEsol-relaxed geometry, computed with meta-GGA SCAN.

Computed properties:
The value obtained for the formation energy without anion corrections is 12.8 kcal/mol of atoms. The value obtained for the density of states at the Fermi level is 0.702 states/eV per atom. As for the space group: Immm (71).

Cell: 3.1401 4.4050 5.6465 Å, 112.96 106.14 90.00°
Atoms (fractional coordinates):
Sb 0.0000 0.5000 0.0000
Os 0.5000 0.0000 0.0000
Ag 0.7541 0.7541 0.5083
Ag 0.2459 0.2459 0.4917

---

# 12
Sc2AgOs at its PBEsol-relaxed geometry, computed with meta-GGA SCAN.

Computed properties:
The formation energy is -568 meV per atom. The value obtained for the energy above the most stable polymorph in this dataset is 0.0000 eV/atom. The value obtained for the density of states at the Fermi level is 0.418 states/eV per atom. As for the space group: P4/mmm (123).

Cell: 3.2035 3.2035 6.9028 Å, 90.00 90.00 90.00°
Atoms (fractional coordinates):
Sc 0.0000 0.0000 0.7229
Sc 0.0000 0.0000 0.2771
Os 0.5000 0.5000 0.5000
Ag 0.5000 0.5000 0.0000

---

What did the seventh record say?
AgTeOsS2 at its PBEsol-relaxed geometry, computed with meta-GGA SCAN.

Computed properties:
The value obtained for the formation energy without anion corrections is 9.4 kcal/mol of atoms. The value obtained for the density of states at the Fermi level is 0.627 states/eV per atom. As for the space group: P4/mmm (123).

Cell: 4.3869 4.3869 5.8609 Å, 90.00 90.00 90.00°
Atoms (fractional coordinates):
S 0.0000 0.5000 0.0000
S 0.5000 0.0000 0.0000
Te 0.0000 0.0000 0.5000
Os 0.0000 0.0000 0.0000
Ag 0.5000 0.5000 0.5000